Computed, not measured: an optimized crystal structure of KReOs2 at the PBE-GGA level of DFT. Values from VASP.

Quantum ESPRESSO input file:
```
&SYSTEM
  ibrav = 0, nat = 4, ntyp = 3
/
ATOMIC_SPECIES
K 39.10 K.upf
Re 186.21 Re.upf
Os 190.23 Os.upf
ATOMIC_POSITIONS crystal
K 0.000 0.000 0.000
Re 0.500 0.500 0.687
Os 0.000 0.000 0.482
Os 0.500 0.500 0.297
CELL_PARAMETERS angstrom
2.744 0.000 0.000
0.000 2.744 0.000
0.000 0.000 9.700
```

Output
DFT formation energy = 0.901 eV per atom
Volume = 18.25 A^3/atom